No. 1
BPd | PBE | optimized geometry

Its calculated volume is 12.23 Å³/atom. The value obtained for the theoretical density is 8.0 Mg/m³. The value obtained for the size of the total moment is 0.000 μB/atom. The value obtained for the formation enthalpy at 0 K is 0.068 eV/atom.

The structure belongs to space group C2/m (No. 12); the cell edges are 7.5304, 3.2434 and 4.2195 Å and the angles 90.00°, 108.26° and 90.00°. Symmetry generates all atoms from B at (0.1006, 0.0000, 0.1676) and Pd at (0.1938, 0.0000, 0.7148).

No. 2
Sc6C2NO2 | PBE | optimized geometry

Its calculated volume is 13.17 Å³/atom. The value obtained for the theoretical density is 3.9 Mg/m³. The calculation puts the formation energy (no corrections) at -19.4 eV per formula unit. The value obtained for the size of the total moment is 0.000 μB/atom.

The structure belongs to space group C2/m (No. 12); the cell edges are 5.6403, 9.7330 and 5.6009 Å and the angles 90.00°, 109.60° and 90.00°. Symmetry generates all atoms from Sc at (0.2416, 0.1718, 0.2400), Sc at (0.2429, 0.0000, 0.7685), C at (0.0000, 0.3334, 0.0000), N at (0.0000, 0.0000, 0.0000) and O at (0.0000, 0.1663, 0.5000).

No. 3
In2FeTcGe | PBE | optimized geometry

Its calculated volume is 23.03 Å³/atom. The value obtained for the theoretical density is 6.6 Mg/m³. The value obtained for the size of the total moment is 0.630 μB/atom. The value obtained for the formation enthalpy at 0 K is 1.331 eV/atom.

The structure belongs to space group P4/mmm (No. 123); the cell edges are 5.1289, 5.1289 and 4.3766 Å and the angles 90.00°, 90.00° and 90.00°. Symmetry generates all atoms from In at (0.0000, 0.5000, 0.0000), Fe at (0.0000, 0.0000, 0.5000), Tc at (0.5000, 0.5000, 0.5000) and Ge at (0.0000, 0.0000, 0.0000).

No. 4
Ta2VPN | PBE | optimized geometry

Its calculated volume is 18.02 Å³/atom. The value obtained for the theoretical density is 8.4 Mg/m³. The calculation puts the formation energy (no corrections) at 8.9 eV per formula unit. The value obtained for the size of the total moment is 0.000 μB/atom.

The structure belongs to space group P4/mmm (No. 123); the cell edges are 4.6504, 4.6504 and 4.1660 Å and the angles 90.00°, 90.00° and 90.00°. Symmetry generates all atoms from Ta at (0.0000, 0.5000, 0.0000), V at (0.0000, 0.0000, 0.0000), P at (0.0000, 0.0000, 0.5000) and N at (0.5000, 0.5000, 0.5000).

No. 5
Ba10Sr6Ca | PBE | optimized geometry

Its calculated volume is 60.82 Å³/atom. The value obtained for the theoretical density is 3.1 Mg/m³. The value obtained for the size of the total moment is 0.000 μB/atom. The value obtained for the formation enthalpy at 0 K is 0.062 eV/atom.

The structure belongs to space group P-31m (No. 162); the cell edges are 11.8410, 11.8410 and 8.5146 Å and the angles 90.00°, 90.00° and 120.00°. Symmetry generates all atoms from Ba at (0.0000, 0.3116, 0.3395), Ba at (0.3333, 0.6667, 0.0000), Ba at (0.3333, 0.6667, 0.5000), Sr at (0.0000, 0.3430, 0.8482) and Ca at (0.0000, 0.0000, 0.0000).

No. 6
TlHgGeF6 | PBE | optimized geometry

Its calculated volume is 16.99 Å³/atom. The value obtained for the theoretical density is 6.4 Mg/m³. The calculation puts the formation energy (no corrections) at -17.9 eV per formula unit. The value obtained for the size of the total moment is 0.033 μB/atom.

The structure belongs to space group P1 (No. 1); the cell edges are 5.1450, 5.8530 and 5.8607 Å and the angles 60.04°, 89.90° and 89.95°. Symmetry generates all atoms from Tl at (0.0000, 0.0000, 0.0000), Hg at (0.4588, 0.3335, 0.3334), Ge at (0.6379, 0.6668, 0.6663), F at (0.4344, 0.8144, 0.8175), F at (0.4349, 0.3680, 0.8129), F at (0.4360, 0.8187, 0.3672), F at (0.8409, 0.5159, 0.9645), F at (0.8424, 0.5192, 0.5160) and F at (0.8420, 0.9647, 0.5197).

No. 7
Y3Cu3Bi4 | PBE | optimized geometry

Its calculated volume is 23.94 Å³/atom. The value obtained for the theoretical density is 9.0 Mg/m³. The value obtained for the size of the total moment is 0.000 μB/atom. The value obtained for the formation enthalpy at 0 K is -0.518 eV/atom.

The structure belongs to space group I-43d (No. 220); the cell edges are 9.8568, 9.8568 and 9.8568 Å and the angles 90.00°, 90.00° and 90.00°. Symmetry generates all atoms from Y at (0.0000, 0.2500, 0.3750), Cu at (0.0000, 0.2500, 0.8750) and Bi at (0.0827, 0.0827, 0.0827).

No. 8
Ba2ZrIn | PBE | optimized geometry

Its calculated volume is 35.58 Å³/atom. The value obtained for the theoretical density is 5.6 Mg/m³. The value obtained for the size of the total moment is 0.003 μB/atom. The value obtained for the formation enthalpy at 0 K is 0.304 eV/atom.

The structure belongs to space group Pmmm (No. 47); the cell edges are 3.7076, 5.3666 and 7.1527 Å and the angles 90.00°, 90.00° and 90.00°. Symmetry generates all atoms from Ba at (0.0000, 0.0000, 0.2469), Zr at (0.5000, 0.5000, 0.5000) and In at (0.5000, 0.5000, 0.0000).

| no. | DFT total energy (eV/atom) |
| --- | --- |
| 1 | -5.87 |
| 2 | -8.55 |
| 3 | -4.45 |
| 4 | -7.53 |
| 5 | -1.78 |
| 6 | -4.04 |
| 7 | -5.24 |
| 8 | -3.48 |